First-principles (GGA+U) data for an optimized crystal structure of SrAcMnO4, as listed in Alexandria.

Results
- Total magnetic moment: 4.00 μB per formula unit
- Crystal system: tetragonal
- Total DFT energy (no corrections): -7.343 eV/atom

Cell: 3.9709 3.9709 7.0259 Å, 106.41 106.41 90.00°
With the nearest neighbours (Å) after each atom.
Fractional positions:
Sr1 0.3599 0.3599 0.7198  5 O 2.50-2.71
Ac1 0.6419 0.6419 0.2838  5 O 2.44-2.68
Mn1 0.9953 0.9953 0.9905  6 O 1.99-2.20
O1 0.0027 0.5027 0.0054  2 Mn 1.99
O2 0.5027 0.0027 0.0054  2 Mn 1.99
O3 0.8316 0.8316 0.6631  1 Mn 2.11
O4 0.1659 0.1659 0.3318  1 Mn 2.20